DFT (PBE) results for a relaxed SnGePd3 crystal.

abc: 7.418 7.418 6.732
angles: 92.08 92.08 85.99
Element x y z (fractional)
Sn 0.054 0.256 0.253
Sn 0.256 0.054 0.753
Sn 0.744 0.946 0.247
Sn 0.946 0.744 0.747
Ge 0.193 0.807 0.250
Ge 0.385 0.615 0.750
Ge 0.615 0.385 0.250
Ge 0.807 0.193 0.750
Pd 0.062 0.358 0.647
Pd 0.172 0.549 0.005
Pd 0.316 0.486 0.397
Pd 0.358 0.062 0.147
Pd 0.451 0.828 0.495
Pd 0.486 0.316 0.897
Pd 0.514 0.684 0.103
Pd 0.549 0.172 0.505
Pd 0.642 0.938 0.853
Pd 0.684 0.514 0.603
Pd 0.828 0.451 0.995
Pd 0.938 0.642 0.353

Summary:
E above lowest polymorph (eV per formula unit): 0.03
Space-group type: C2/c
Formation enthalpy at 0 K (eV per atom): -0.389
VASP energy (eV/atom): -5.2290

---

DFT (PBE) results for a relaxed Ac2TiHgO6 crystal.

abc: 5.638 5.638 5.208
angles: 90.00 90.00 90.00
Element x y z (fractional)
Ac 0.000 0.500 0.000
Ac 0.500 0.000 0.000
Ti 0.000 0.000 0.591
Hg 0.500 0.500 0.526
O 0.000 0.000 0.240
O 0.228 0.228 0.723
O 0.228 0.772 0.723
O 0.500 0.500 0.116
O 0.772 0.228 0.723
O 0.772 0.772 0.723

Summary:
Space-group type: P4mm
VASP energy (eV/atom): -7.2337
Raw formation energy (kcal/mol of atoms): -60.4